Here is a relaxed structure of SrGaPdPt from Alexandria via LeMat-Bulk. Energies are from PBE.

The value obtained for the energy relative to the elements is -572.4 meV per atom. The value obtained for the total energy is -4.56 eV per atom.

a b c (Å): 6.118 6.118 6.118
angles (deg): 141.09 138.74 58.00
Atoms (fractional coordinates):
Sr1 0.000 0.000 0.000
Ga1 0.746 0.246 0.500
Pd1 0.364 0.364 0.000
Pt1 0.613 0.613 0.000